[1]
Here is crystalline CsSc2AgCl8 at its relaxed geometry from the Alexandria database. Energies are from PBE.

The total DFT energy (no corrections) is -4.364 eV per atom. The value obtained for the formation energy without anion corrections is -170.6 kJ per mole of atoms.

It has space group R-3 (No. 148, hexagonal axes), with a = 6.8064 Å, b = 6.8064 Å, c = 29.0884 Å, α = 90.00°, β = 90.00° and γ = 120.00°. The distinct sites, in fractional coordinates, are Cs at (0.0000, 0.0000, 0.0000), Sc at (0.0000, 0.0000, 0.2430), Ag at (0.0000, 0.0000, 0.5000), Cl at (0.0000, 0.0000, 0.3235) and Cl at (0.0009, 0.3306, 0.1107).

[2]
Here is crystalline FeTc2Ni at its relaxed geometry from the Alexandria database. Energies are from PBE.

The formation energy from the elements is -0.0210 eV/atom. The total DFT energy (no corrections) is -8.765 eV per atom. As for the energy above the lowest structure with this stoichiometry: 0.00 eV/f.u.

It has space group Pmm2 (No. 25), with a = 2.634 Å, b = 4.178 Å, c = 4.548 Å, α = 90.00°, β = 90.00° and γ = 90.00°. The distinct sites, in fractional coordinates, are Fe at (0.000, 0.000, 0.000), Tc at (0.500, 0.000, 0.518), Tc at (0.500, 0.500, 0.169) and Ni at (0.000, 0.500, 0.681).

[3]
Here is crystalline Ac2Nd3Y8 at its relaxed geometry from the Alexandria database. Energies are from PBE.

The formation energy from the elements is 0.2467 eV/atom. The total DFT energy (no corrections) is -5.464 eV per atom.

It has space group Cmmm (No. 65), with a = 7.851 Å, b = 21.631 Å, c = 5.636 Å, α = 90.00°, β = 90.00° and γ = 90.00°. The distinct sites, in fractional coordinates, are Ac at (0.000, 0.240, 0.000), Nd at (0.000, 0.000, 0.000), Nd at (0.203, 0.500, 0.500), Y at (0.000, 0.121, 0.500), Y at (0.000, 0.345, 0.500) and Y at (0.211, 0.396, 0.000).